{
  "formula": "TcNiRh2",
  "functional": "GGA-PBEsol",
  "state": "optimized geometry",
  "lattice_angstrom": [[-2.583, -0.596, 0.196], [0.588, -2.005, 1.643], [-0.606, 4.501, 5.708]],
  "species": ["Rh", "Rh", "Ni", "Tc"],
  "fractional_positions": [[0.000, 0.000, 0.745], [0.000, 0.000, 0.255], [0.500, 0.500, 0.500], [0.500, 0.500, 0.000]],
  "formation_enthalpy_0k_ev_per_fu": -0.2,
  "polymorph_energy_ev_per_atom": 0.021,
  "n_ef_per_ev_fu": 5.90,
  "spacegroup": "P4/mmm, No. 123",
  "m_tot_mub_per_fu": 0.002
}

***

{
  "formula": "TcNiRh2",
  "functional": "GGA-PBEsol",
  "state": "optimized geometry",
  "lattice_angstrom": [[2.646, 0.000, 0.000], [0.000, 3.715, 0.000], [0.000, 0.000, 5.236]],
  "species": ["Ni", "Tc", "Rh", "Rh"],
  "fractional_positions": [[0.500, 0.500, 0.746], [0.000, 0.000, 0.510], [0.500, 0.500, 0.259], [0.000, 0.000, 0.984]],
  "formation_enthalpy_0k_ev_per_fu": -0.1,
  "polymorph_energy_ev_per_atom": 0.043,
  "n_ef_per_ev_fu": 5.16,
  "spacegroup": "Pmm2, No. 25",
  "m_tot_mub_per_fu": 0.005
}

***

{
  "formula": "TcNi2Rh",
  "functional": "GGA-PBEsol",
  "state": "optimized geometry",
  "lattice_angstrom": [[-1.237, -1.163, -1.992], [1.342, -2.201, 0.452], [-5.061, -2.179, 4.415]],
  "species": ["Tc", "Ni", "Rh", "Ni"],
  "fractional_positions": [[0.500, 0.500, 0.761], [0.500, 0.500, 0.238], [0.000, 0.000, 0.493], [0.000, 0.000, 0.008]],
  "formation_enthalpy_0k_ev_per_fu": 0.0,
  "polymorph_energy_ev_per_atom": 0.042,
  "n_ef_per_ev_fu": 5.89,
  "spacegroup": "P4mm, No. 99",
  "m_tot_mub_per_fu": 0.003
}

***

{
  "formula": "TcNi2Rh",
  "functional": "GGA-PBEsol",
  "state": "optimized geometry",
  "lattice_angstrom": [[-1.288, 2.273, 0.140], [-2.373, -1.192, -2.487], [-2.927, -1.886, 3.697]],
  "species": ["Rh", "Tc", "Ni", "Ni"],
  "fractional_positions": [[0.000, 0.000, 0.501], [0.500, 0.500, 0.757], [0.500, 0.500, 0.236], [0.000, 0.000, 0.006]],
  "formation_enthalpy_0k_ev_per_fu": -0.1,
  "polymorph_energy_ev_per_atom": 0.013,
  "n_ef_per_ev_fu": 3.94,
  "spacegroup": "Pmm2, No. 25",
  "m_tot_mub_per_fu": 0.000
}

***

{
  "formula": "TcNi2Rh",
  "functional": "GGA-PBEsol",
  "state": "optimized geometry",
  "lattice_angstrom": [[-1.229, 0.029, -2.293], [-3.302, -2.313, 1.740], [-0.736, 3.987, 1.920]],
  "species": ["Ni", "Rh", "Tc", "Ni"],
  "fractional_positions": [[0.998, 0.993, 0.996], [0.502, 0.497, 0.004], [0.748, 0.248, 0.496], [0.252, 0.762, 0.504]],
  "formation_enthalpy_0k_ev_per_fu": -0.1,
  "polymorph_energy_ev_per_atom": 0.027,
  "n_ef_per_ev_fu": 4.62,
  "spacegroup": "Cm, No. 8",
  "m_tot_mub_per_fu": 0.001
}

***

{
  "formula": "TcNiRh2",
  "functional": "GGA-PBEsol",
  "state": "optimized geometry",
  "lattice_angstrom": [[-2.416, -1.064, -0.260], [-0.272, -2.626, -0.264], [-1.456, -2.022, 8.266]],
  "species": ["Rh", "Ni", "Tc", "Rh"],
  "fractional_positions": [[0.749, 0.749, 0.754], [0.000, 0.000, 0.000], [0.500, 0.500, 0.500], [0.251, 0.251, 0.246]],
  "formation_enthalpy_0k_ev_per_fu": -0.1,
  "polymorph_energy_ev_per_atom": 0.051,
  "n_ef_per_ev_fu": 5.24,
  "spacegroup": "R-3m, No. 166",
  "m_tot_mub_per_fu": 0.011
}